Material: KCu2WF8
Method: DFT, GGA+U
State: relaxed

Properties
Calculated total energy: -56.35 eV per cell

Cell and atoms, written as POSCAR:
```
KCu2WF8
1.0
5.114 0.000 0.000
2.557 4.429 0.000
2.557 1.476 8.126
K Cu W F
1 2 1 8
direct
0.500 0.500 0.500
0.237 0.237 0.289
0.763 0.763 0.711
0.000 0.000 0.000
0.161 0.161 0.517
0.632 0.262 0.150
0.839 0.839 0.483
0.956 0.632 0.150
0.044 0.368 0.850
0.262 0.956 0.150
0.738 0.044 0.850
0.368 0.738 0.850
```